## BeCoCu2Pd (PBE)

Data for a relaxed BeCoCu2Pd crystal.

Computed properties:
For the calculated formation energy, the calculation gives 1087 meV per atom. As for the mass density: 5.8 g cm⁻³. The magnetic moment comes out at 1.97 μB/f.u. As for the space-group type: No. 123.

a b c (Å): 4.643 4.028 4.643
angles (deg): 90.00 90.00 90.00
Last column: magnetic moment on the atom in μB.
Positions (direct):
Cu: 0.000 0.000 0.500  0.03
Cu: 0.500 0.000 0.000  0.00
Be: 0.000 0.500 0.000  -0.01
Pd: 0.000 0.000 0.000  0.00
Co: 0.500 0.500 0.500  2.02